5
Lattice="-1.934 1.934 4.531 1.934 -1.934 4.531 1.934 1.934 -4.531" Properties=species:S:1:pos:R:3 comment="HfCo2Si2 PBE-GGA optimized geometry" relative_energy_ev_per_atom=0.2234 pbc="T T T"
Hf 0.000 0.000 0.000
Co 0.000 0.000 3.421
Co 0.000 0.000 5.641
Si 1.934 0.000 2.266
Si 0.000 1.934 2.266

---

DFT (PBE-GGA) results for a geometry-optimized HfCoSi structure.

Structure (extended XYZ):
```
6
Lattice="-1.958 3.311 3.409 1.958 -3.311 3.409 1.958 3.311 -3.409" Properties=species:S:1:pos:R:3 pbc="T T T"
Hf 0.000 0.000 0.000
Hf 0.000 3.311 0.518
Co 1.958 -1.326 1.415
Co 1.958 1.326 1.415
Si 1.958 1.857 -0.837
Si 0.000 1.454 2.571
```

---

DFT (PBE-GGA) results for a geometry-optimized Hf3Co2Si4 structure.

Structure (extended XYZ):
```
9
Lattice="4.930 -1.940 0.000 4.930 1.940 0.000 -2.365 0.000 7.095" Properties=species:S:1:pos:R:3 pbc="T T T"
Hf 0.000 0.000 0.000
Hf 2.979 0.000 2.172
Hf 4.516 0.000 4.923
Co 1.568 0.000 4.514
Co 5.927 0.000 2.580
Si -0.098 0.000 2.860
Si 0.622 0.000 6.560
Si 6.873 0.000 0.534
Si 7.593 0.000 4.235
```

---

5
Lattice="-1.866 1.866 4.796 1.866 -1.866 4.796 1.866 1.866 -4.796" Properties=species:S:1:pos:R:3 comment="HfCo2Si2 PBE-GGA optimized geometry" relative_energy_ev_per_atom=0.0000 pbc="T T T"
Hf 0.000 0.000 0.000
Co 1.866 0.000 2.398
Co 0.000 1.866 2.398
Si 0.000 0.000 3.634
Si 0.000 0.000 5.959

---

DFT (PBE-GGA) results for a geometry-optimized Hf6Co16Si7 structure.

Structure (extended XYZ):
```
29
Lattice="0.000 5.670 5.670 5.670 0.000 5.670 5.670 5.670 0.000" Properties=species:S:1:pos:R:3 pbc="T T T"
Hf 5.670 5.670 2.324
Hf 5.670 2.324 5.670
Hf 9.017 5.670 5.670
Hf 2.324 5.670 5.670
Hf 5.670 9.017 5.670
Hf 5.670 5.670 9.017
Co 7.026 4.315 4.315
Co 1.942 1.942 1.942
Co 3.728 3.728 1.942
Co 3.728 1.942 3.728
Co 4.315 4.315 4.315
Co 7.026 7.026 4.315
Co 7.026 4.315 7.026
Co 1.942 3.728 3.728
Co 9.399 7.613 7.613
Co 4.315 7.026 4.315
Co 4.315 4.315 7.026
Co 7.026 7.026 7.026
Co 7.613 9.399 7.613
Co 7.613 7.613 9.399
Co 9.399 9.399 9.399
Co 4.315 7.026 7.026
Si 2.835 2.835 0.000
Si 2.835 0.000 2.835
Si 5.670 2.835 2.835
Si 0.000 2.835 2.835
Si 2.835 5.670 2.835
Si 2.835 2.835 5.670
Si 5.670 5.670 5.670
```

---

DFT (PBE-GGA) results for a geometry-optimized HfCoSi structure.

Structure (extended XYZ):
```
6
Lattice="4.984 -1.870 0.000 4.984 1.870 0.000 -1.453 0.000 4.859" Properties=species:S:1:pos:R:3 pbc="T T T"
Hf 0.000 0.000 0.000
Hf 1.411 0.000 2.939
Co 3.053 0.000 0.791
Co 4.561 0.000 2.748
Si 5.607 0.000 4.840
Si 8.372 0.000 2.203
```

---

DFT (PBE-GGA) results for a geometry-optimized HfCoSi structure.

Structure (extended XYZ):
```
6
Lattice="1.764 -4.796 0.000 1.764 4.796 0.000 0.000 0.000 5.141" Properties=species:S:1:pos:R:3 pbc="T T T"
Hf 1.764 2.869 3.855
Hf 1.764 -2.869 1.285
Co 1.764 0.000 0.000
Co 1.764 0.000 2.570
Si 1.764 3.975 1.285
Si 1.764 -3.975 3.855
```

---

DFT (PBE-GGA) results for a geometry-optimized HfCoSi structure.

Structure (extended XYZ):
```
12
Lattice="6.397 0.000 0.000 0.000 3.833 0.000 0.000 0.000 7.086" Properties=species:S:1:pos:R:3 pbc="T T T"
Hf 0.053 0.958 1.371
Hf 3.146 2.875 4.914
Hf 3.251 0.958 2.172
Hf 6.344 2.875 5.715
Co 0.933 0.958 4.031
Co 2.265 2.875 0.488
Co 4.131 0.958 6.598
Co 5.464 2.875 3.055
Si 1.401 2.875 2.791
Si 1.797 0.958 6.334
Si 4.600 2.875 0.752
Si 4.995 0.958 4.295
```

---

DFT (PBE-GGA) results for a geometry-optimized Hf4CoSi structure.

Structure (extended XYZ):
```
12
Lattice="-4.179 4.179 3.794 4.179 -4.179 3.794 4.179 4.179 -3.794" Properties=species:S:1:pos:R:3 pbc="T T T"
Hf 0.000 1.606 0.000
Hf 2.392 0.000 1.741
Hf 5.966 0.000 1.741
Hf 4.179 2.392 -0.156
Hf 0.000 1.787 3.638
Hf -1.606 4.179 1.897
Hf 1.606 4.179 1.897
Hf 0.000 6.753 0.000
Co 0.000 0.000 1.873
Co 0.000 4.179 3.770
Si 4.179 0.000 3.637
Si 0.000 0.000 5.534
```

---

DFT (PBE-GGA) results for a geometry-optimized Hf3CoSi2 structure.

Structure (extended XYZ):
```
24
Lattice="10.464 0.000 0.000 0.000 3.848 0.000 0.000 0.000 10.280" Properties=species:S:1:pos:R:3 pbc="T T T"
Hf 0.526 0.962 1.260
Hf 1.273 2.886 5.815
Hf 2.204 0.962 8.304
Hf 3.028 2.886 3.164
Hf 3.959 0.962 0.675
Hf 4.706 2.886 6.400
Hf 5.758 0.962 3.881
Hf 6.505 2.886 9.605
Hf 7.436 0.962 7.117
Hf 8.260 2.886 1.976
Hf 9.191 0.962 4.465
Hf 9.938 2.886 9.021
Co 1.400 0.962 3.718
Co 3.832 2.886 8.858
Co 6.632 0.962 1.422
Co 9.064 2.886 6.562
Si 0.228 2.886 3.207
Si 2.016 2.886 0.044
Si 3.216 0.962 5.184
Si 5.004 0.962 8.347
Si 5.460 2.886 1.933
Si 7.248 2.886 5.096
Si 8.448 0.962 10.236
Si 10.236 0.962 7.074
```

---

5
Lattice="4.396 0.000 0.000 0.000 4.396 0.000 0.000 0.000 4.615" Properties=species:S:1:pos:R:3 comment="HfCoSiTc2 PBE-GGA optimized geometry" relative_energy_ev_per_atom=0.6757 pbc="T T T"
Hf 0.000 0.000 0.000
Co 0.000 0.000 2.307
Si 2.198 2.198 0.000
Tc 0.000 2.198 2.307
Tc 2.198 0.000 2.307

---

5
Lattice="4.444 0.000 0.000 0.000 4.444 0.000 0.000 0.000 4.091" Properties=species:S:1:pos:R:3 comment="HfCoSiTc2 PBE-GGA optimized geometry" relative_energy_ev_per_atom=0.0000 pbc="T T T"
Hf 0.000 0.000 0.000
Co 2.222 2.222 0.000
Si 2.222 2.222 2.046
Tc 0.000 2.222 2.046
Tc 2.222 0.000 2.046

---

Number 1: formation energy from raw total energies -0.54 eV per atom. Number 2: formation energy from raw total energies -0.75 eV per atom. Number 3: formation energy from raw total energies -0.76 eV per atom. Number 4: formation energy from raw total energies -0.76 eV per atom. Number 5: formation energy from raw total energies -0.69 eV per atom. Number 6: formation energy from raw total energies -0.64 eV per atom. Number 7: formation energy from raw total energies -0.82 eV per atom. Number 8: formation energy from raw total energies -0.86 eV per atom. Number 9: formation energy from raw total energies 0.05 eV per atom. Number 10: formation energy from raw total energies -0.73 eV per atom. Number 11: formation energy from raw total energies 0.83 eV per atom. Number 12: formation energy from raw total energies 0.16 eV per atom.